Here is ZrBMo after structural relaxation from the Alexandria database. Energies are from GGA-PBE.

Energy of formation from the pure elements (eV per atom): -0.2550
E_tot (eV per atom): -8.94

abc: 3.0766 3.0766 4.8907
angles: 90.00 90.00 90.00
Last column: nearest neighbours and their distance in Å.
Space group P4/mmm (No. 123)
Symmetry-distinct sites (fractional):
Zr 0.0000 0.0000 0.0000 [1 per cell]  2 B 2.45
B 0.0000 0.0000 0.5000 [1 per cell]  4 Mo 2.18
Mo 0.5000 0.5000 0.5000 [1 per cell]  4 B 2.18

Here is ZrB2Mo2 after structural relaxation from the Alexandria database. Energies are from GGA-PBE.

Energy of formation from the pure elements (eV per atom): -0.4057
E_tot (eV per atom): -9.12

abc: 6.2371 6.2371 3.2377
angles: 90.00 90.00 90.00
Last column: nearest neighbours and their distance in Å.
Space group P4/mbm (No. 127)
Symmetry-distinct sites (fractional):
Zr 0.0000 0.0000 0.0000 [2 per cell]  4 B 2.55, 8 Mo 2.82
B 0.1049 0.3951 0.0000 [4 per cell]  1 B 1.85
Mo 0.1701 0.6701 0.5000 [4 per cell]  6 B 2.39-2.56

Here is ZrBMo after structural relaxation from the Alexandria database. Energies are from GGA-PBE.

Energy of formation from the pure elements (eV per atom): -0.3213
E_tot (eV per atom): -9.01

abc: 3.1498 4.8082 5.8961
angles: 80.43 80.04 88.97
Last column: nearest neighbours and their distance in Å.
Space group P1 (No. 1)
Symmetry-distinct sites (fractional):
Zr 0.0000 0.0000 0.0000 [1 per cell]  4 B 2.45-2.56
Zr 0.1827 0.8521 0.4727 [1 per cell]  3 B 2.47-2.51
B 0.0812 0.5337 0.8618 [1 per cell]  2 B 1.79-1.84
B 0.5851 0.7188 0.8018 [1 per cell]  2 B 1.79-1.84
Mo 0.4933 0.4422 0.1787 [1 per cell]  3 B 2.37-2.43
Mo 0.6596 0.3129 0.6370 [1 per cell]  3 B 2.31-2.40

Here is B6N7 after structural relaxation from the Alexandria database. Energies are from GGA-PBE.

ΔE_f (raw) (meV per atom): -334
E_tot (eV per atom): -7.90

abc: 4.4937 4.4937 4.4937
angles: 90.00 90.00 90.00
Last column: nearest neighbours and their distance in Å.
Space group Pm-3 (No. 200)
Symmetry-distinct sites (fractional):
B 0.0000 0.2498 0.5000 [6 per cell]  4 N 1.58-1.59
N 0.0000 0.0000 0.0000 [1 per cell]  12 B 2.51, 12 N 2.52
N 0.0000 0.5000 0.2516 [6 per cell]  4 B 1.58-1.59

Here is B3N4 after structural relaxation from the Alexandria database. Energies are from GGA-PBE.

ΔE_f (raw) (meV per atom): 184
E_tot (eV per atom): -7.43

abc: 4.5420 4.5420 4.5420
angles: 90.00 90.00 90.00
Last column: nearest neighbours and their distance in Å.
Space group Pm-3n (No. 223)
Symmetry-distinct sites (fractional):
B 0.0000 0.2500 0.5000 [6 per cell]  4 N 1.61
N 0.0000 0.0000 0.0000 [2 per cell]  12 B 2.54, 12 N 2.54
N 0.0000 0.5000 0.2500 [6 per cell]  4 B 1.61

Here is Na3BN3 after structural relaxation from the Alexandria database. Energies are from GGA-PBE.

ΔE_f (raw) (meV per atom): 90
E_tot (eV per atom): -5.00

abc: 6.8032 6.8032 4.9163
angles: 90.00 90.00 120.00
Last column: nearest neighbours and their distance in Å.
Space group P6_3/m (No. 176)
Symmetry-distinct sites (fractional):
Na 0.1050 0.7437 0.2500 [6 per cell]  5 N 2.45-2.56
B 0.3333 0.6667 0.7500 [2 per cell]  3 N 1.46
N 0.1313 0.6903 0.7500 [6 per cell]  1 B 1.46

Here is Na2B2N3 after structural relaxation from the Alexandria database. Energies are from GGA-PBE.

ΔE_f (raw) (meV per atom): -375
E_tot (eV per atom): -6.23

abc: 9.0876 2.6798 6.0039
angles: 90.00 121.70 90.00
Last column: nearest neighbours and their distance in Å.
Space group C2/m (No. 12)
Symmetry-distinct sites (fractional):
Na 0.0751 0.0000 0.3738 [4 per cell]  7 N 2.39-2.64, 1 Na 2.52
B 0.1813 0.5000 0.0621 [4 per cell]  3 N 1.49-1.60
N 0.0000 0.5000 0.0000 [2 per cell]  2 B 1.49
N 0.2137 0.5000 0.8045 [4 per cell]  3 B 1.60-1.72

Here is Na3B2N4 after structural relaxation from the Alexandria database. Energies are from GGA-PBE.

ΔE_f (raw) (meV per atom): -178
E_tot (eV per atom): -5.80

abc: 11.1445 2.5636 7.0873
angles: 90.00 101.31 90.00
Last column: nearest neighbours and their distance in Å.
Space group C2/m (No. 12)
Symmetry-distinct sites (fractional):
Na 0.0000 0.0000 0.0000 [2 per cell]  4 N 2.55, 2 Na 2.56
Na 0.1035 0.0000 0.4223 [4 per cell]  6 N 2.46-2.64, 3 Na 2.56-2.74, 1 B 2.72
B 0.2102 0.5000 0.7743 [4 per cell]  3 N 1.44-1.47
N 0.0786 0.5000 0.7379 [4 per cell]  1 B 1.44
N 0.2263 0.5000 0.2325 [4 per cell]  2 B 1.47

Here is NaB6N6 after structural relaxation from the Alexandria database. Energies are from GGA-PBE.

ΔE_f (raw) (meV per atom): -528
E_tot (eV per atom): -7.55

abc: 4.5252 4.5252 4.5252
angles: 90.00 90.00 90.00
Last column: nearest neighbours and their distance in Å.
Space group Pm-3 (No. 200)
Symmetry-distinct sites (fractional):
Na 0.0000 0.0000 0.0000 [1 per cell]  12 N 2.52, 12 B 2.56
B 0.0000 0.2623 0.5000 [6 per cell]  4 N 1.57-1.63
N 0.0000 0.5000 0.2466 [6 per cell]  4 B 1.57-1.63

Here is NaB2N2 after structural relaxation from the Alexandria database. Energies are from GGA-PBE.

ΔE_f (raw) (meV per atom): -646
E_tot (eV per atom): -6.91

abc: 5.0677 5.2906 5.8386
angles: 78.10 68.40 72.10
Last column: nearest neighbours and their distance in Å.
Space group P-1 (No. 2)
Symmetry-distinct sites (fractional):
Na 0.0641 0.3202 0.2975 [2 per cell]  4 N 2.47-2.69
B 0.0226 0.1309 0.8795 [2 per cell]  2 N 1.43-1.45
B 0.4624 0.7691 0.2067 [2 per cell]  2 N 1.32-1.34
N 0.1854 0.7595 0.2535 [2 per cell]  2 B 1.34-1.45
N 0.2656 0.2460 0.8150 [2 per cell]  2 B 1.32-1.43

Here is NaBN2 after structural relaxation from the Alexandria database. Energies are from GGA-PBE.

ΔE_f (raw) (meV per atom): 349
E_tot (eV per atom): -5.81

abc: 3.2383 3.2383 17.6371
angles: 90.00 90.00 120.00
Last column: nearest neighbours and their distance in Å.
Space group R-3m (No. 166, hexagonal axes)
Symmetry-distinct sites (fractional):
Na 0.0000 0.0000 0.0000 [3 per cell]  6 N 2.47
B 0.0000 0.0000 0.5000 [3 per cell]  2 N 1.33
N 0.0000 0.0000 0.4246 [6 per cell]  1 B 1.33

Here is Na3BN after structural relaxation from the Alexandria database. Energies are from GGA-PBE.

ΔE_f (raw) (meV per atom): 1080
E_tot (eV per atom): -2.71

abc: 4.6512 4.6512 4.6512
angles: 90.00 90.00 90.00
Last column: nearest neighbours and their distance in Å.
Space group Pm-3m (No. 221)
Symmetry-distinct sites (fractional):
Na 0.0000 0.0000 0.5000 [3 per cell]  2 N 2.33
B 0.5000 0.5000 0.5000 [1 per cell]  12 Na 3.29
N 0.0000 0.0000 0.0000 [1 per cell]  6 Na 2.33

Question: Among the records above, which one has the lowest E_tot?
Answer: ZrB2Mo2